Below is an optimized crystal structure of Ac3Pm5Sm, with properties calculated at the PBE-GGA level.

Its total moment is 0.00 μB/cell. The density of states at the Fermi level comes out at 14.3 states/eV/f.u.

It has space group C2/m (No. 12), with a = 13.8559 Å, b = 8.4525 Å, c = 12.5841 Å, α = 90.00°, β = 96.21° and γ = 90.00°. The inequivalent atoms are Ac at (0.0000, 0.0000, 0.0000), Ac at (0.0000, 0.0000, 0.5000), Ac at (0.1544, 0.5000, 0.2151), Ac at (0.2249, 0.5000, 0.4989), Pm at (0.0000, 0.3362, 0.0000), Pm at (0.0240, 0.5000, 0.6370), Pm at (0.1227, 0.2021, 0.7695), Pm at (0.2484, 0.5000, 0.9689) and Sm at (0.1217, 0.0000, 0.2558).


Below is an optimized crystal structure of Mn2Cd, with properties calculated at the PBE-GGA level.

Its total moment is 31.48 μB/cell. The density of states at the Fermi level comes out at 2.0 states/eV/f.u.

It has space group Pa-3 (No. 205), with a = 6.3722 Å, b = 6.3722 Å, c = 6.3722 Å, α = 90.00°, β = 90.00° and γ = 90.00°. The inequivalent atoms are Mn at (0.1397, 0.1397, 0.1397) and Cd at (0.0000, 0.0000, 0.5000).


Below is an optimized crystal structure of YRuRhPb, with properties calculated at the PBE-GGA level.

Its total moment is 0.00 μB/cell. The density of states at the Fermi level comes out at 0.5 states/eV/f.u.

It has space group F-43m (No. 216), with a = 6.7128 Å, b = 6.7128 Å, c = 6.7128 Å, α = 90.00°, β = 90.00° and γ = 90.00°. The inequivalent atoms are Y at (0.0000, 0.0000, 0.0000), Ru at (0.2500, 0.2500, 0.2500), Rh at (0.2500, 0.2500, 0.7500) and Pb at (0.0000, 0.0000, 0.5000).


Below is an optimized crystal structure of Cs2Sm2US6, with properties calculated at the PBE-GGA level.

Its total moment is 4.00 μB/cell. The uncorrected formation energy comes out at -19.0 eV/f.u. The density of states at the Fermi level comes out at 7.1 states/eV/f.u.

It has space group C2/m (No. 12), with a = 7.1308 Å, b = 12.3201 Å, c = 8.6004 Å, α = 90.00°, β = 106.42° and γ = 90.00°. The inequivalent atoms are Cs at (0.0000, 0.1693, 0.0000), Sm at (0.0000, 0.3336, 0.5000), U at (0.0000, 0.0000, 0.5000), S at (0.2211, 0.1619, 0.6780) and S at (0.2405, 0.5000, 0.6776).


Below is an optimized crystal structure of RbH2Se, with properties calculated at the PBE-GGA level.

Its total moment is 0.00 μB/cell. The density of states at the Fermi level comes out at 1.8 states/eV/f.u.

It has space group Pm (No. 6), with a = 5.3084 Å, b = 3.1383 Å, c = 5.4422 Å, α = 90.00°, β = 116.19° and γ = 90.00°. The inequivalent atoms are Rb at (0.0000, 0.0000, 0.0000), H at (0.6418, 0.5000, 0.1935), H at (0.7727, 0.5000, 0.3326) and Se at (0.3344, 0.5000, 0.6501).


Below is an optimized crystal structure of La4P9Rh8, with properties calculated at the PBE-GGA level.

Its total moment is 0.00 μB/cell. The density of states at the Fermi level comes out at 8.8 states/eV/f.u.

It has space group Cmcm (No. 63), with a = 13.1389 Å, b = 19.1121 Å, c = 5.7907 Å, α = 90.00°, β = 90.00° and γ = 90.00°. The inequivalent atoms are La at (0.0000, 0.1123, 0.2500), La at (0.0000, 0.3605, 0.7500), La at (0.2256, 0.3645, 0.2500), P at (0.0000, 0.4263, 0.2500), P at (0.0797, 0.0646, 0.7500), P at (0.1242, 0.2412, 0.5013), P at (0.2168, 0.4293, 0.7500), Rh at (0.0000, 0.1845, 0.7500), Rh at (0.0000, 0.2933, 0.2500), Rh at (0.1057, 0.5000, 0.0000), Rh at (0.1803, 0.0000, 0.0000) and Rh at (0.2439, 0.3040, 0.7500).


Below is an optimized crystal structure of Li3CeZr2Se6, with properties calculated at the PBE-GGA level.

Its total moment is 3.65 μB/cell. The uncorrected formation energy comes out at -16.9 eV/f.u. The density of states at the Fermi level comes out at 8.9 states/eV/f.u.

It has space group C2/m (No. 12), with a = 6.7583 Å, b = 11.7088 Å, c = 6.9775 Å, α = 90.00°, β = 108.91° and γ = 90.00°. The inequivalent atoms are Li at (0.0000, 0.0000, 0.0000), Li at (0.0000, 0.3356, 0.0000), Ce at (0.0000, 0.5000, 0.5000), Zr at (0.0000, 0.1667, 0.5000), Se at (0.2355, 0.0000, 0.7562) and Se at (0.2398, 0.1752, 0.2454).


Below is an optimized crystal structure of Se5Cl, with properties calculated at the PBE-GGA level.

Its total moment is 0.00 μB/cell. The uncorrected formation energy comes out at 1.5 eV/f.u. The density of states at the Fermi level comes out at 4.7 states/eV/f.u.

It has space group Amm2 (No. 38), with a = 3.6386 Å, b = 3.7053 Å, c = 21.6356 Å, α = 90.00°, β = 90.00° and γ = 90.00°. The inequivalent atoms are Se at (0.0000, 0.0000, 0.0000), Se at (0.0000, 0.0000, 0.3068), Se at (0.0000, 0.0000, 0.6619), Se at (0.5000, 0.0000, 0.0761), Se at (0.5000, 0.0000, 0.7483) and Cl at (0.5000, 0.0000, 0.4094).


Below is an optimized crystal structure of Ti3Be8Al, with properties calculated at the PBE-GGA level.

Its total moment is 7.98 μB/cell. The density of states at the Fermi level comes out at 6.3 states/eV/f.u.

It has space group R3m (No. 160, hexagonal axes), with a = 4.5152 Å, b = 4.5152 Å, c = 22.1466 Å, α = 90.00°, β = 90.00° and γ = 120.00°. The inequivalent atoms are Ti at (0.0000, 0.0000, 0.0000), Ti at (0.0000, 0.0000, 0.1244), Ti at (0.0000, 0.0000, 0.4985), Be at (0.0000, 0.0000, 0.3145), Be at (0.0000, 0.0000, 0.8111), Be at (0.0022, 0.5011, 0.5616), Be at (0.0057, 0.5028, 0.0612) and Al at (0.0000, 0.0000, 0.6245).


Below is an optimized crystal structure of LiNpH6Rh, with properties calculated at the PBE-GGA level.

Its total moment is 3.83 μB/cell. The density of states at the Fermi level comes out at 10.3 states/eV/f.u.

It has space group P-6m2 (No. 187), with a = 4.4299 Å, b = 4.4299 Å, c = 4.3749 Å, α = 90.00°, β = 90.00° and γ = 120.00°. The inequivalent atoms are Li at (0.0000, 0.0000, 0.0000), Np at (0.6667, 0.3333, 0.5000), H at (0.1738, 0.3475, 0.2779) and Rh at (0.3333, 0.6667, 0.0000).


Below is an optimized crystal structure of YHg, with properties calculated at the PBE-GGA level.

Its total moment is 0.00 μB/cell. The density of states at the Fermi level comes out at 2.5 states/eV/f.u.

It has space group P-6m2 (No. 187), with a = 3.7549 Å, b = 3.7549 Å, c = 4.5999 Å, α = 90.00°, β = 90.00° and γ = 120.00°. The inequivalent atoms are Y at (0.0000, 0.0000, 0.0000) and Hg at (0.6667, 0.3333, 0.5000).


Below is an optimized crystal structure of Ce3TaCl3O6, with properties calculated at the PBE-GGA level.

Its total moment is 4.02 μB/cell. The uncorrected formation energy comes out at -38.8 eV/f.u. The density of states at the Fermi level comes out at 17.7 states/eV/f.u.

It has space group P6_3/m (No. 176), with a = 9.3302 Å, b = 9.3302 Å, c = 5.4163 Å, α = 90.00°, β = 90.00° and γ = 120.00°. The inequivalent atoms are Ce at (0.0886, 0.4104, 0.2500), Ta at (0.3333, 0.6667, 0.7500), Cl at (0.0518, 0.2416, 0.7500) and O at (0.1552, 0.6340, 0.5117).


VASP energy (eV for the cell shown)
-146.6 -64.1 -112.7 -132.4 -12.4 -602.3 -133.1 -35.5 -177.5 -44.1 -7.4 -207.5